*i*
Below is a PBEsol-optimized structure of TlZn2Sb2, with properties calculated at the SCAN level.

DOS at the Fermi energy = 0.54 states/eV per atom
SG = I4cm

Lattice parameters (Å, degrees): 6.929 6.929 6.929 106.20 106.20 116.24
Atoms (fractional coordinates):
Tl (0.000, 0.000, 0.000)
Tl (0.500, 0.500, 0.000)
Zn (0.012, 0.232, 0.500)
Zn (0.232, 0.732, 0.220)
Zn (0.512, 0.012, 0.780)
Zn (0.732, 0.512, 0.500)
Sb (0.073, 0.883, 0.500)
Sb (0.383, 0.573, 0.500)
Sb (0.573, 0.073, 0.189)
Sb (0.883, 0.383, 0.811)

*ii*
Below is a PBEsol-optimized structure of TlZn2Sb2, with properties calculated at the SCAN level.

DOS at the Fermi energy = 0.31 states/eV per atom
SG = I4/mmm

Lattice parameters (Å, degrees): 8.255 8.255 8.255 152.06 152.06 39.92
Atoms (fractional coordinates):
Tl (0.000, 0.000, 0.000)
Zn (0.250, 0.750, 0.500)
Zn (0.750, 0.250, 0.500)
Sb (0.369, 0.369, 0.000)
Sb (0.631, 0.631, 0.000)

Which structure is most stable? *ii*, by 8 meV/atom over the runner-up.